Entry 1:
{
  "formula": "NaCNF2",
  "functional": "PBE",
  "state": "relaxed",
  "raw_formation_energy_ev_per_atom": -0.76,
  "total_magnetization_mub_per_fu": 0.00,
  "cell": [[4.433, 0.000, 0.000], [0.000, 4.433, 0.000], [0.000, 0.000, 2.501]],
  "species": ["Na", "C", "N", "F", "F"],
  "frac_coords": [[0.000, 0.000, 0.000], [0.500, 0.500, 0.500], [0.500, 0.500, 0.000], [0.000, 0.500, 0.500], [0.500, 0.000, 0.500]]
}

---

Entry 2:
{
  "formula": "CdAsSeN2",
  "functional": "PBE",
  "state": "relaxed",
  "raw_formation_energy_ev_per_atom": 1.80,
  "total_magnetization_mub_per_fu": 2.85,
  "cell": [[4.228, 0.000, 0.000], [0.000, 4.228, 0.000], [0.000, 0.000, 5.880]],
  "species": ["Cd", "As", "Se", "N", "N"],
  "frac_coords": [[0.000, 0.000, 0.000], [0.500, 0.500, 0.500], [0.000, 0.000, 0.500], [0.000, 0.500, 0.000], [0.500, 0.000, 0.000]]
}